Here is an optimized crystal structure of RbTePb3 from the Alexandria database. Energies are from PBEsol.

a b c (Å): 6.0223 6.0223 6.0223
angles (deg): 90.00 90.00 90.00
Element x y z (fractional)
Rb  0.0000  0.0000  0.0000
Te  0.5000  0.5000  0.5000
Pb  0.0000  0.5000  0.5000
Pb  0.5000  0.0000  0.5000
Pb  0.5000  0.5000  0.0000

Summary:
SG: Pm-3m
Uncorrected energy: -3.0823 eV/atom

---

Here is an optimized crystal structure of RbTl2Pb2 from the Alexandria database. Energies are from PBEsol.

a b c (Å): 7.3328 7.3328 7.3328
angles (deg): 137.65 137.65 61.44
Element x y z (fractional)
Rb  0.0000  0.0000  0.0000
Tl  0.2500  0.7500  0.5000
Tl  0.7500  0.2500  0.5000
Pb  0.3790  0.3790  0.0000
Pb  0.6210  0.6210  0.0000

Summary:
Distance to the lowest polymorph of the same formula: 0.06 eV per formula unit
SG: I4/mmm
Uncorrected energy: -2.8989 eV/atom

---

Here is an optimized crystal structure of RbTl2Pb2 from the Alexandria database. Energies are from PBEsol.

a b c (Å): 9.5638 9.5638 3.5537
angles (deg): 90.00 90.00 90.00
Element x y z (fractional)
Rb  0.0000  0.0000  0.0000
Rb  0.5000  0.5000  0.0000
Tl  0.1619  0.3381  0.5000
Tl  0.3381  0.8381  0.5000
Tl  0.6619  0.1619  0.5000
Tl  0.8381  0.6619  0.5000
Pb  0.1280  0.6280  0.0000
Pb  0.3720  0.1280  0.0000
Pb  0.6280  0.8720  0.0000
Pb  0.8720  0.3720  0.0000

Summary:
Distance to the lowest polymorph of the same formula: 0.00 eV per formula unit
SG: P4/mbm
Uncorrected energy: -2.9103 eV/atom

---

Here is an optimized crystal structure of RbZn2Pb2 from the Alexandria database. Energies are from PBEsol.

a b c (Å): 6.8224 6.8224 6.8224
angles (deg): 138.81 138.81 59.67
Element x y z (fractional)
Rb  0.0000  0.0000  0.0000
Zn  0.3948  0.3948  0.0000
Zn  0.6052  0.6052  0.0000
Pb  0.2500  0.7500  0.5000
Pb  0.7500  0.2500  0.5000

Summary:
SG: I4/mmm
Uncorrected energy: -2.4461 eV/atom

---

Here is an optimized crystal structure of Rb3ZnPb from the Alexandria database. Energies are from PBEsol.

a b c (Å): 6.4380 6.4380 6.4380
angles (deg): 90.00 90.00 90.00
Element x y z (fractional)
Rb  0.0000  0.0000  0.5000
Rb  0.0000  0.5000  0.0000
Rb  0.5000  0.0000  0.0000
Zn  0.0000  0.0000  0.0000
Pb  0.5000  0.5000  0.5000

Summary:
SG: Pm-3m
Uncorrected energy: -1.3658 eV/atom

---

Here is an optimized crystal structure of RePb from the Alexandria database. Energies are from PBEsol.

a b c (Å): 3.3223 3.3223 3.3223
angles (deg): 90.00 90.00 90.00
Element x y z (fractional)
Re  0.0000  0.0000  0.0000
Pb  0.5000  0.5000  0.5000

Summary:
Distance to the lowest polymorph of the same formula: 0.01 eV per formula unit
SG: Pm-3m
Uncorrected energy: -7.4143 eV/atom

---

Here is an optimized crystal structure of RePb from the Alexandria database. Energies are from PBEsol.

a b c (Å): 4.7621 4.7621 4.7621
angles (deg): 60.00 60.00 60.00
Element x y z (fractional)
Re  0.1250  0.1250  0.1250
Re  0.8750  0.8750  0.8750
Pb  0.3750  0.3750  0.3750
Pb  0.6250  0.6250  0.6250

Summary:
Distance to the lowest polymorph of the same formula: 0.00 eV per formula unit
SG: Fd-3m
Uncorrected energy: -7.4181 eV/atom

---

Here is an optimized crystal structure of ReRhPb2 from the Alexandria database. Energies are from PBEsol.

a b c (Å): 4.6484 4.6484 3.3646
angles (deg): 90.00 90.00 90.00
Element x y z (fractional)
Re  0.0000  0.0000  0.0000
Rh  0.5000  0.5000  0.0000
Pb  0.0000  0.5000  0.5000
Pb  0.5000  0.0000  0.5000

Summary:
Distance to the lowest polymorph of the same formula: 0.00 eV per formula unit
SG: P4/mmm
Uncorrected energy: -6.7244 eV/atom

---

Here is an optimized crystal structure of ReRhPb2 from the Alexandria database. Energies are from PBEsol.

a b c (Å): 4.6969 4.6969 4.6969
angles (deg): 60.00 60.00 60.00
Element x y z (fractional)
Re  0.0000  0.0000  0.0000
Rh  0.5000  0.5000  0.5000
Pb  0.2500  0.2500  0.2500
Pb  0.7500  0.7500  0.7500

Summary:
Distance to the lowest polymorph of the same formula: 0.14 eV per formula unit
SG: Fm-3m
Uncorrected energy: -6.6892 eV/atom

---

Here is an optimized crystal structure of ReRh2Pb from the Alexandria database. Energies are from PBEsol.

a b c (Å): 2.8758 2.8758 7.8572
angles (deg): 90.00 90.00 90.00
Element x y z (fractional)
Re  0.0000  0.0000  0.0000
Rh  0.5000  0.5000  0.2177
Rh  0.5000  0.5000  0.7823
Pb  0.0000  0.0000  0.5000

Summary:
SG: P4/mmm
Uncorrected energy: -8.2256 eV/atom

---

Here is an optimized crystal structure of ReRh2Pb from the Alexandria database. Energies are from PBEsol.

a b c (Å): 2.8782 3.8377 5.7594
angles (deg): 90.00 90.00 90.00
Element x y z (fractional)
Re  0.0000  0.0000  0.0000
Rh  0.5000  0.5000  0.2228
Rh  0.5000  0.5000  0.7772
Pb  0.0000  0.0000  0.5000

Summary:
SG: Pmmm
Uncorrected energy: -8.1351 eV/atom

---

Here is an optimized crystal structure of ReRh2Pb from the Alexandria database. Energies are from PBEsol.

a b c (Å): 4.7506 4.7506 2.8304
angles (deg): 90.00 90.00 90.00
Element x y z (fractional)
Re  0.0000  0.0000  0.0000
Rh  0.0000  0.5000  0.5000
Rh  0.5000  0.0000  0.5000
Pb  0.5000  0.5000  0.0000

Summary:
SG: P4/mmm
Uncorrected energy: -7.9289 eV/atom

---

Here is an optimized crystal structure of Re2SbRhPb from the Alexandria database. Energies are from PBEsol.

a b c (Å): 4.7872 4.7872 5.4301
angles (deg): 90.00 90.00 90.00
Element x y z (fractional)
Re  0.0000  0.5000  0.0000
Re  0.5000  0.0000  0.0000
Sb  0.0000  0.0000  0.0000
Rh  0.5000  0.5000  0.5000
Pb  0.0000  0.0000  0.5000

Summary:
SG: P4/mmm
Uncorrected energy: -6.0179 eV/atom

---

Here is an optimized crystal structure of ReRhPb2Se from the Alexandria database. Energies are from PBEsol.

a b c (Å): 5.5011 5.5011 4.4174
angles (deg): 90.00 90.00 90.00
Element x y z (fractional)
Re  0.0000  0.0000  0.0000
Rh  0.5000  0.5000  0.0000
Pb  0.0000  0.5000  0.5000
Pb  0.5000  0.0000  0.5000
Se  0.5000  0.5000  0.5000

Summary:
SG: P4/mmm
Uncorrected energy: -5.1387 eV/atom

---

Here is an optimized crystal structure of ReRuPb2 from the Alexandria database. Energies are from PBEsol.

a b c (Å): 5.4138 5.4138 3.0784
angles (deg): 105.16 105.16 109.13
Element x y z (fractional)
Re  0.0000  0.0000  0.0000
Ru  0.5000  0.5000  0.0000
Pb  0.0000  0.5000  0.5000
Pb  0.5000  0.0000  0.5000

Summary:
Distance to the lowest polymorph of the same formula: 0.03 eV per formula unit
SG: C2/m
Uncorrected energy: -6.8152 eV/atom

---

Here is an optimized crystal structure of ReRuPb2 from the Alexandria database. Energies are from PBEsol.

a b c (Å): 3.1112 3.1112 8.7587
angles (deg): 90.00 90.00 116.40
Element x y z (fractional)
Re  0.0000  0.0000  0.0000
Ru  0.0000  0.0000  0.5000
Pb  0.5000  0.5000  0.2562
Pb  0.5000  0.5000  0.7438

Summary:
Distance to the lowest polymorph of the same formula: 0.00 eV per formula unit
SG: Cmmm
Uncorrected energy: -6.8237 eV/atom

---

Here is an optimized crystal structure of ReSbPb2 from the Alexandria database. Energies are from PBEsol.

a b c (Å): 4.6474 5.6324 5.6324
angles (deg): 39.83 90.00 90.00
Element x y z (fractional)
Re  0.0000  0.0000  0.0000
Sb  0.5000  0.8723  0.8723
Pb  0.0000  0.2819  0.2819
Pb  0.5000  0.5933  0.5933

Summary:
SG: Amm2
Uncorrected energy: -5.7631 eV/atom

---

Here is an optimized crystal structure of ReSbPb3 from the Alexandria database. Energies are from PBEsol.

a b c (Å): 5.6710 5.6710 5.6710
angles (deg): 90.00 90.00 90.00
Element x y z (fractional)
Re  0.0000  0.0000  0.0000
Sb  0.5000  0.5000  0.5000
Pb  0.0000  0.5000  0.5000
Pb  0.5000  0.0000  0.5000
Pb  0.5000  0.5000  0.0000

Summary:
SG: Pm-3m
Uncorrected energy: -4.0503 eV/atom

---

Here is an optimized crystal structure of ReSbPb2 from the Alexandria database. Energies are from PBEsol.

a b c (Å): 5.7430 5.7430 5.7430
angles (deg): 135.03 135.03 65.48
Element x y z (fractional)
Re  0.0000  0.0000  0.0000
Sb  0.5000  0.5000  0.0000
Pb  0.2500  0.7500  0.5000
Pb  0.7500  0.2500  0.5000

Summary:
SG: I4/mmm
Uncorrected energy: -5.4769 eV/atom

---

Here is an optimized crystal structure of ReSbPb2 from the Alexandria database. Energies are from PBEsol.

a b c (Å): 3.3546 3.3546 8.1337
angles (deg): 90.00 90.00 90.00
Element x y z (fractional)
Re  0.0000  0.0000  0.0000
Sb  0.0000  0.0000  0.5000
Pb  0.5000  0.5000  0.2047
Pb  0.5000  0.5000  0.7953

Summary:
SG: P4/mmm
Uncorrected energy: -5.7343 eV/atom

---

Here is an optimized crystal structure of ScRePb2 from the Alexandria database. Energies are from PBEsol.

a b c (Å): 4.9465 4.9465 4.9465
angles (deg): 60.00 60.00 60.00
Element x y z (fractional)
Sc  0.0000  0.0000  0.0000
Re  0.7500  0.7500  0.7500
Pb  0.2500  0.2500  0.2500
Pb  0.5000  0.5000  0.5000

Summary:
Distance to the lowest polymorph of the same formula: 1.14 eV per formula unit
SG: F-43m
Uncorrected energy: -6.3902 eV/atom

---

Here is an optimized crystal structure of ScRePb2 from the Alexandria database. Energies are from PBEsol.

a b c (Å): 4.8254 4.8254 4.8254
angles (deg): 60.00 60.00 60.00
Element x y z (fractional)
Sc  0.0000  0.0000  0.0000
Re  0.5000  0.5000  0.5000
Pb  0.2500  0.2500  0.2500
Pb  0.7500  0.7500  0.7500

Summary:
Distance to the lowest polymorph of the same formula: 0.00 eV per formula unit
SG: Fm-3m
Uncorrected energy: -6.6764 eV/atom

---

Here is an optimized crystal structure of Sc2RePb from the Alexandria database. Energies are from PBEsol.

a b c (Å): 4.5908 4.5908 3.6087
angles (deg): 90.00 90.00 90.00
Element x y z (fractional)
Sc  0.0000  0.5000  0.0000
Sc  0.5000  0.0000  0.0000
Re  0.0000  0.0000  0.5000
Pb  0.5000  0.5000  0.5000

Summary:
SG: P4/mmm
Uncorrected energy: -7.7564 eV/atom

---

Here is an optimized crystal structure of ScRePb2 from the Alexandria database. Energies are from PBEsol.

a b c (Å): 4.6633 4.6633 3.7610
angles (deg): 90.00 90.00 94.88
Element x y z (fractional)
Sc  0.0000  0.0000  0.0000
Re  0.5000  0.5000  0.0000
Pb  0.0000  0.5000  0.5000
Pb  0.5000  0.0000  0.5000

Summary:
Distance to the lowest polymorph of the same formula: 0.72 eV per formula unit
SG: Cmmm
Uncorrected energy: -6.4960 eV/atom

---

Here is an optimized crystal structure of Re2PbSe from the Alexandria database. Energies are from PBEsol.

a b c (Å): 5.4893 5.4893 5.4893
angles (deg): 148.38 125.51 64.39
Element x y z (fractional)
Re  0.2165  0.2165  0.0000
Re  0.7835  0.7835  0.0000
Pb  0.5000  0.0000  0.5000
Se  0.0000  0.5000  0.5000

Summary:
SG: Immm
Uncorrected energy: -7.6406 eV/atom

---

Here is an optimized crystal structure of RePb2Se from the Alexandria database. Energies are from PBEsol.

a b c (Å): 7.2880 7.2880 7.2880
angles (deg): 154.28 144.97 43.96
Element x y z (fractional)
Re  0.0000  0.0000  0.0000
Pb  0.2241  0.7241  0.5000
Pb  0.5571  0.5571  0.0000
Se  0.8656  0.3656  0.5000

Summary:
SG: Imm2
Uncorrected energy: -5.8559 eV/atom

---

Here is an optimized crystal structure of RePbSe2 from the Alexandria database. Energies are from PBEsol.

a b c (Å): 3.3730 4.4289 5.2383
angles (deg): 90.00 90.00 90.00
Element x y z (fractional)
Re  0.0000  0.0000  0.0000
Pb  0.5000  0.0000  0.5000
Se  0.0000  0.5000  0.5000
Se  0.5000  0.5000  0.0000

Summary:
SG: Pmmm
Uncorrected energy: -5.3251 eV/atom

---

Here is an optimized crystal structure of Re3SnPb from the Alexandria database. Energies are from PBEsol.

a b c (Å): 4.9216 4.9216 4.9216
angles (deg): 90.00 90.00 90.00
Element x y z (fractional)
Re  0.0000  0.0000  0.5000
Re  0.0000  0.5000  0.0000
Re  0.5000  0.0000  0.0000
Sn  0.5000  0.5000  0.5000
Pb  0.0000  0.0000  0.0000

Summary:
SG: Pm-3m
Uncorrected energy: -6.5010 eV/atom

---

Here is an optimized crystal structure of Re2SnPb from the Alexandria database. Energies are from PBEsol.

a b c (Å): 4.6361 4.6361 4.6361
angles (deg): 60.00 60.00 60.00
Element x y z (fractional)
Re  0.2500  0.2500  0.2500
Re  0.7500  0.7500  0.7500
Sn  0.0000  0.0000  0.0000
Pb  0.5000  0.5000  0.5000

Summary:
SG: Fm-3m
Uncorrected energy: -7.7978 eV/atom

---

Here is an optimized crystal structure of SrRePb2 from the Alexandria database. Energies are from PBEsol.

a b c (Å): 4.9228 5.8387 5.8387
angles (deg): 38.39 90.00 90.00
Element x y z (fractional)
Sr  0.0000  0.0000  0.0000
Re  0.5000  0.6156  0.6156
Pb  0.0000  0.7228  0.7228
Pb  0.5000  0.3298  0.3298

Summary:
Distance to the lowest polymorph of the same formula: 0.00 eV per formula unit
SG: Amm2
Uncorrected energy: -5.0853 eV/atom